# 1
Pm2Pr4TmTh | PBE | relaxed

Geometry as CIF:
```
data_Pm2Pr4TmTh
_cell_length_a 6.113
_cell_length_b 6.123
_cell_length_c 7.345
_cell_angle_alpha 90.00
_cell_angle_beta 90.10
_cell_angle_gamma 90.00
_space_group_name_H-M_alt 'P 1 2/m 1'
_space_group_IT_number 10
_space_group_name_Hall '-P 2y'
loop_
_atom_site_label
_atom_site_fract_x
_atom_site_fract_y
_atom_site_fract_z
Pm1 0.000 0.000 0.000
Pm2 0.500 0.500 0.500
Pr1 0.000 0.500 0.246
Pr2 0.500 0.000 0.245
Tm1 0.000 0.000 0.500
Th1 0.500 0.500 0.000
```

Output
Its crystal system is monoclinic.

# 2
Pm6Pr3Tm2Th | PBE | relaxed

Geometry as CIF:
```
data_Pm6Pr3Tm2Th
_cell_length_a 6.288
_cell_length_b 10.873
_cell_length_c 12.106
_cell_angle_alpha 90.00
_cell_angle_beta 99.95
_cell_angle_gamma 90.00
_space_group_name_H-M_alt 'C 1 2/m 1'
_space_group_IT_number 12
_space_group_name_Hall '-C 2y'
loop_
_atom_site_label
_atom_site_fract_x
_atom_site_fract_y
_atom_site_fract_z
Pm1 0.247 0.165 0.244
Pm2 0.249 0.000 0.756
Pr1 0.000 0.167 0.500
Pr2 0.000 0.500 0.500
Tm1 0.000 0.333 0.000
Th1 0.000 0.000 0.000
```

Output
Its crystal system is monoclinic.

# 3
PmPr4Tm2Th | PBE | relaxed

Geometry as CIF:
```
data_PmPr4Tm2Th
_cell_length_a 11.494
_cell_length_b 5.156
_cell_length_c 10.265
_cell_angle_alpha 90.00
_cell_angle_beta 116.68
_cell_angle_gamma 90.00
_space_group_name_H-M_alt 'C 1 2/m 1'
_space_group_IT_number 12
_space_group_name_Hall '-C 2y'
loop_
_atom_site_label
_atom_site_fract_x
_atom_site_fract_y
_atom_site_fract_z
Pm1 0.000 0.000 0.000
Pr1 0.248 0.500 0.622
Pr2 0.249 0.000 0.871
Tm1 0.002 0.500 0.746
Th1 0.000 0.000 0.500
```

Output
Its crystal system is monoclinic.

# 4
Pm6PrTm2Th | PBE | relaxed

Geometry as CIF:
```
data_Pm6PrTm2Th
_cell_length_a 9.400
_cell_length_b 14.999
_cell_length_c 9.707
_cell_angle_alpha 90.00
_cell_angle_beta 97.46
_cell_angle_gamma 90.00
_space_group_name_H-M_alt 'C 1 2/c 1'
_space_group_IT_number 15
_space_group_name_Hall '-C 2yc'
loop_
_atom_site_label
_atom_site_fract_x
_atom_site_fract_y
_atom_site_fract_z
Pm1 0.066 0.172 0.441
Pm2 0.094 0.392 0.618
Pm3 0.204 0.220 0.816
Pr1 0.000 0.405 0.250
Tm1 0.243 0.046 0.052
Th1 0.000 0.033 0.750
```

Output
Its crystal system is monoclinic.

Number 1: calculated formation energy 0.135 eV/atom, raw total energy -4.929 eV/atom. Number 2: calculated formation energy 0.029 eV/atom, raw total energy -4.905 eV/atom. Number 3: calculated formation energy 0.043 eV/atom, raw total energy -4.986 eV/atom. Number 4: calculated formation energy 0.141 eV/atom, raw total energy -4.824 eV/atom.